No. 1
## Ce11Pb9Au4 (PBE-GGA)

Data for crystalline Ce11Pb9Au4 at its relaxed geometry.

Lattice parameters (Å, degrees): 12.9834 12.9834 4.3703 90.00 90.00 112.90
Element x y z (fractional)
Ce 0.9306 0.5913 0.0000
Ce 0.0694 0.4087 0.0000
Ce 0.5913 0.9306 0.0000
Ce 0.4087 0.0694 0.0000
Ce 0.3660 0.6340 0.0000
Ce 0.6340 0.3660 0.0000
Ce 0.1650 0.8350 0.0000
Ce 0.8350 0.1650 0.0000
Ce 0.0000 0.0000 0.0000
Ce 0.6998 0.6998 0.0000
Ce 0.3002 0.3002 0.0000
Pb 0.1446 0.6270 0.5000
Pb 0.8554 0.3730 0.5000
Pb 0.6270 0.1446 0.5000
Pb 0.3730 0.8554 0.5000
Pb 0.9416 0.7894 0.5000
Pb 0.0584 0.2106 0.5000
Pb 0.7894 0.9416 0.5000
Pb 0.2106 0.0584 0.5000
Pb 0.5000 0.5000 0.5000
Au 0.7514 0.5514 0.5000
Au 0.2486 0.4486 0.5000
Au 0.5514 0.7514 0.5000
Au 0.4486 0.2486 0.5000

Properties
- total energy (eV per atom) = -5.1356

---

No. 2
## BaSrCrCu2 (PBE-GGA)

Data for crystalline BaSrCrCu2 at its relaxed geometry.

Lattice parameters (Å, degrees): 5.5713 5.5713 7.0906 90.00 90.00 90.00
Element x y z (fractional)
Sr 0.0000 0.0000 0.5000
Ba 0.0000 0.0000 0.0000
Cu 0.0000 0.5000 0.0000
Cu 0.5000 0.0000 0.0000
Cr 0.5000 0.5000 0.5000

Properties
- total energy (eV per atom) = -2.8160

---

No. 3
## NaTl2SeBr6 (PBE-GGA)

Data for crystalline NaTl2SeBr6 at its relaxed geometry.

Lattice parameters (Å, degrees): 7.3811 8.5824 11.9740 90.00 90.00 90.00
Element x y z (fractional)
Na 0.0000 0.7338 0.5000
Na 0.5000 0.2662 0.0000
Tl 0.5000 0.8361 0.2104
Tl 0.0000 0.1639 0.7104
Tl 0.5000 0.8361 0.7896
Tl 0.0000 0.1639 0.2896
Se 0.5000 0.2480 0.5000
Se 0.0000 0.7520 0.0000
Br 0.5000 0.2022 0.2333
Br 0.5000 0.2022 0.7667
Br 0.0000 0.7978 0.2667
Br 0.0000 0.7978 0.7333
Br 0.2555 0.0243 0.5000
Br 0.7445 0.0243 0.5000
Br 0.2514 0.4480 0.5000
Br 0.7486 0.4480 0.5000
Br 0.7514 0.5520 0.0000
Br 0.2486 0.5520 0.0000
Br 0.2445 0.9757 0.0000
Br 0.7555 0.9757 0.0000

Properties
- total energy (eV per atom) = -2.5709
- energy relative to the elements, uncorrected (eV per atom) = -0.61

---

No. 4
## BaNi4Sn2 (PBE-GGA)

Data for crystalline BaNi4Sn2 at its relaxed geometry.

Lattice parameters (Å, degrees): 6.9279 6.9279 6.9279 111.36 108.53 108.53
Element x y z (fractional)
Ba 0.0000 0.2500 0.2500
Ba 0.0000 0.7500 0.7500
Ni 0.7598 0.7887 0.2887
Ni 0.2402 0.5290 0.0290
Ni 0.5000 0.2887 0.5290
Ni 0.5000 0.0290 0.7887
Ni 0.5000 0.9710 0.2113
Ni 0.5000 0.7113 0.4710
Ni 0.7598 0.4710 0.9710
Ni 0.2402 0.2113 0.7113
Sn 0.8253 0.1626 0.6626
Sn 0.1747 0.8374 0.3374
Sn 0.5000 0.6626 0.8374
Sn 0.5000 0.3374 0.1626

Properties
- total energy (eV per atom) = -4.9845

---

No. 5
## Cs2Sr2Li (PBE-GGA)

Data for crystalline Cs2Sr2Li at its relaxed geometry.

Lattice parameters (Å, degrees): 9.5517 9.5517 7.4406 90.00 90.00 90.00
Element x y z (fractional)
Cs 0.3545 0.8545 0.0000
Cs 0.8545 0.6455 0.0000
Cs 0.6455 0.1455 0.0000
Cs 0.1455 0.3545 0.0000
Sr 0.1732 0.6732 0.5000
Sr 0.6732 0.8268 0.5000
Sr 0.8268 0.3268 0.5000
Sr 0.3268 0.1732 0.5000
Li 0.0000 0.0000 0.0000
Li 0.5000 0.5000 0.0000

Properties
- total energy (eV per atom) = -1.0356
- E above lowest polymorph (meV/atom) = 132

---

No. 6
## ZnPt2O (PBE-GGA)

Data for crystalline ZnPt2O at its relaxed geometry.

Lattice parameters (Å, degrees): 4.2363 4.2363 4.2363 60.00 60.00 60.00
Element x y z (fractional)
Zn 0.5000 0.5000 0.5000
O 0.0000 0.0000 0.0000
Pt 0.2500 0.2500 0.2500
Pt 0.7500 0.7500 0.7500

Properties
- total energy (eV per atom) = -4.2785
- E above lowest polymorph (meV/atom) = 173
- energy relative to the elements, uncorrected (eV per atom) = 0.30

---

No. 7
## SrAcAu (PBE-GGA)

Data for crystalline SrAcAu at its relaxed geometry.

Lattice parameters (Å, degrees): 3.9439 3.9439 7.5991 105.04 105.04 90.00
Element x y z (fractional)
Sr 0.0319 0.0319 0.0639
Ac 0.2941 0.2941 0.5882
Au 0.6739 0.6739 0.3479

Properties
- total energy (eV per atom) = -3.5191
- E above lowest polymorph (meV/atom) = 0

---

No. 8
## TlCuRu2 (PBE-GGA)

Data for crystalline TlCuRu2 at its relaxed geometry.

Lattice parameters (Å, degrees): 4.8145 4.8145 2.9584 90.00 90.00 110.64
Element x y z (fractional)
Cu 0.0000 0.5000 0.5000
Ru 0.0000 0.0000 0.0000
Ru 0.5000 0.5000 0.0000
Tl 0.5000 0.0000 0.5000

Properties
- total energy (eV per atom) = -5.5825
- E above lowest polymorph (meV/atom) = 295

---

No. 9
## SiAuCl2 (PBE-GGA)

Data for crystalline SiAuCl2 at its relaxed geometry.

Lattice parameters (Å, degrees): 7.7519 7.7519 4.4304 73.34 73.34 23.09
Element x y z (fractional)
Au 0.2500 0.2500 0.2500
Cl 0.1103 0.1103 0.8897
Cl 0.3897 0.3897 0.6103
Si 0.7500 0.7500 0.7500

Properties
- total energy (eV per atom) = -3.1658
- E above lowest polymorph (meV/atom) = 331
- energy relative to the elements, uncorrected (eV per atom) = -0.07

---

No. 10
## CaTl2P (PBE-GGA)

Data for crystalline CaTl2P at its relaxed geometry.

Lattice parameters (Å, degrees): 5.9742 5.9742 5.9742 139.56 128.49 67.45
Element x y z (fractional)
Ca 0.4574 0.4574 0.0000
P 0.2481 0.7481 0.5000
Tl 0.0438 0.0438 0.0000
Tl 0.7508 0.2508 0.5000

Properties
- total energy (eV per atom) = -3.2570
- E above lowest polymorph (meV/atom) = 153

---

No. 11
## SN (PBE-GGA)

Data for crystalline SN at its relaxed geometry.

Lattice parameters (Å, degrees): 8.8433 8.8433 3.9332 90.00 90.00 120.00
Element x y z (fractional)
S 0.9046 0.2901 0.2500
S 0.6145 0.9046 0.7500
S 0.7099 0.6145 0.2500
S 0.0954 0.7099 0.7500
S 0.3855 0.0954 0.2500
S 0.2901 0.3855 0.7500
N 0.7330 0.1214 0.2500
N 0.6115 0.7330 0.7500
N 0.8786 0.6115 0.2500
N 0.2670 0.8786 0.7500
N 0.3885 0.2670 0.2500
N 0.1214 0.3885 0.7500

Properties
- total energy (eV per atom) = -5.1582
- energy relative to the elements, uncorrected (eV per atom) = 1.07

---

No. 12
## Dy7ErHg2 (PBE-GGA)

Data for crystalline Dy7ErHg2 at its relaxed geometry.

Lattice parameters (Å, degrees): 5.2118 8.9490 8.9490 119.25 90.00 90.00
Element x y z (fractional)
Dy 0.0000 0.7692 0.2308
Dy 0.0000 0.2308 0.7692
Dy 0.5000 0.0630 0.3017
Dy 0.5000 0.9370 0.6983
Dy 0.5000 0.3017 0.0630
Dy 0.5000 0.6983 0.9370
Dy 0.5000 0.5000 0.5000
Er 0.0000 0.0000 0.0000
Hg 0.5000 0.6931 0.3069
Hg 0.5000 0.3069 0.6931

Properties
- total energy (eV per atom) = -3.4510

---

No. 13
## CaHgAs2 (PBE-GGA)

Data for crystalline CaHgAs2 at its relaxed geometry.

Lattice parameters (Å, degrees): 4.6106 4.6106 4.1797 90.06 90.06 89.99
Element x y z (fractional)
As 0.0000 0.0000 0.0000
As 0.5000 0.5000 0.0000
Ca 0.5000 0.0000 0.5000
Hg 0.0000 0.5000 0.5000

Properties
- total energy (eV per atom) = -3.2683

---

No. 14
## La8Ru3PbI4 (PBE-GGA)

Data for crystalline La8Ru3PbI4 at its relaxed geometry.

Lattice parameters (Å, degrees): 8.7466 9.5877 8.7468 117.15 120.00 90.00
Element x y z (fractional)
La 0.2439 0.6846 0.9409
La 0.2438 0.6846 0.4876
La 0.2676 0.3029 0.5351
La 0.6970 0.6846 0.9409
La 0.3030 0.3154 0.0591
La 0.7324 0.6971 0.4649
La 0.7562 0.3154 0.5124
La 0.7561 0.3154 0.0591
Ru 0.5000 0.5000 0.0000
Ru 0.5000 0.5000 0.5000
Ru 0.0000 0.5000 0.5000
Pb 0.0000 0.5000 0.0000
I 0.5000 0.0000 0.0000
I 0.5000 0.0000 0.5000
I 0.0000 0.0000 0.0000
I 0.0000 0.0000 0.5000

Properties
- total energy (eV per atom) = -5.6075
- energy relative to the elements, uncorrected (eV per atom) = -0.79

---

No. 15
## GaSi2TcOs (PBE-GGA)

Data for crystalline GaSi2TcOs at its relaxed geometry.

Lattice parameters (Å, degrees): 4.5501 4.7659 4.5501 90.00 90.00 90.00
Element x y z (fractional)
Si 0.0000 0.0000 0.5000
Si 0.5000 0.0000 0.0000
Os 0.5000 0.5000 0.5000
Tc 0.0000 0.0000 0.0000
Ga 0.0000 0.5000 0.0000

Properties
- total energy (eV per atom) = -5.9076
- energy relative to the elements, uncorrected (eV per atom) = 1.19

---

No. 16
## Al7Zn2Ag2 (PBE-GGA)

Data for crystalline Al7Zn2Ag2 at its relaxed geometry.

Lattice parameters (Å, degrees): 6.9869 5.6635 5.6635 64.30 90.00 90.00
Element x y z (fractional)
Al 0.3132 0.0000 0.5000
Al 0.6868 0.5000 0.0000
Al 0.6868 0.0000 0.5000
Al 0.3132 0.5000 0.0000
Al 0.0000 0.0000 0.0000
Al 0.7860 0.4999 0.4999
Al 0.2140 0.5001 0.5001
Zn 0.5000 0.2147 0.7853
Zn 0.5000 0.7853 0.2147
Ag 0.0001 0.2674 0.2674
Ag 0.9999 0.7326 0.7326

Properties
- total energy (eV per atom) = -3.0006
- E above lowest polymorph (meV/atom) = 51

---

No. 17
## TiSnTe2 (PBE-GGA)

Data for crystalline TiSnTe2 at its relaxed geometry.

Lattice parameters (Å, degrees): 6.8846 6.8846 8.0326 64.63 64.63 90.00
Element x y z (fractional)
Te 0.5776 0.1250 0.2500
Te 0.1724 0.6250 0.2500
Te 0.3750 0.4224 0.7500
Te 0.8750 0.8276 0.7500
Sn 0.0000 0.0000 0.0000
Sn 0.7500 0.2500 0.5000
Ti 0.5000 0.5000 0.0000
Ti 0.2500 0.7500 0.5000

Properties
- total energy (eV per atom) = -4.6597
- energy relative to the elements, uncorrected (eV per atom) = -0.11

---

No. 18
## CaTaOs2 (PBE-GGA)

Data for crystalline CaTaOs2 at its relaxed geometry.

Lattice parameters (Å, degrees): 4.6350 2.8154 5.3995 78.47 90.00 90.00
Element x y z (fractional)
Ca 0.5000 0.7371 0.7671
Os 0.0000 0.0193 0.9913
Os 0.5000 0.2544 0.2658
Ta 0.0000 0.4893 0.4758

Properties
- total energy (eV per atom) = -8.6314
- E above lowest polymorph (meV/atom) = 432

---

No. 19
## ErHgPt (PBE-GGA)

Data for crystalline ErHgPt at its relaxed geometry.

Lattice parameters (Å, degrees): 4.9912 4.9912 5.9222 90.00 90.00 119.98
Element x y z (fractional)
Er 0.6666 0.8334 0.7500
Er 0.3334 0.1666 0.2500
Hg 0.0000 0.5000 0.0000
Hg 0.0000 0.5000 0.5000
Pt 0.3332 0.1668 0.7500
Pt 0.6668 0.8332 0.2500

Properties
- total energy (eV per atom) = -4.4723

---

No. 20
## W2ICl4 (PBE-GGA)

Data for crystalline W2ICl4 at its relaxed geometry.

Lattice parameters (Å, degrees): 5.9120 5.9120 8.5062 69.66 69.66 90.00
Element x y z (fractional)
I 0.0000 0.0000 0.0000
W 0.5691 0.5691 0.8618
W 0.4309 0.4309 0.1382
Cl 0.7253 0.7253 0.5495
Cl 0.2747 0.2747 0.4505
Cl 0.0000 0.5000 0.0000
Cl 0.5000 0.0000 0.0000

Properties
- total energy (eV per atom) = -4.0773
- energy relative to the elements, uncorrected (eV per atom) = 0.90